Below is a relaxed structure of ZrPa2Mn, with properties calculated at the PBE-GGA level.

a = 3.1118 Å, b = 3.1118 Å, c = 8.7895 Å
α = 90.00°, β = 90.00°, γ = 90.00°
With the nearest neighbours (Å) after each atom.
Sites, in units of the cell vectors:
Pa (0.0000, 0.0000, 0.7975)  4 Mn 2.83, 4 Pa 3.11
Pa (0.0000, 0.0000, 0.2025)  4 Mn 2.83, 4 Pa 3.11
Zr (0.5000, 0.5000, 0.5000)  4 Zr 3.11, 8 Pa 3.42
Mn (0.5000, 0.5000, 0.0000)  8 Pa 2.83, 4 Mn 3.11

## Properties
M_tot ... 0.000 μB/atom
DFT formation energy ... 0.125 eV/atom
Space-group type ... P4/mmm (123)
Distance to the lowest polymorph of the same formula ... 200 meV per atom
ρ ... 11.9 g/cm³